Entry from Alexandria via LeMat-Bulk: a geometry-optimized CuNi3Rh2 structure (GGA-PBE).

Cell lengths 5.180, 4.520, 8.559 Å; angles 110.74, 90.04, 124.97 degrees
Fractional positions:
Rh1 0.208 0.666 0.416
Cu1 0.125 0.000 0.250
Ni1 0.625 0.000 0.250
Ni2 0.291 0.333 0.583
Rh2 0.458 0.666 0.916
Ni3 0.709 0.667 0.417
Rh3 0.542 0.334 0.084
Cu2 0.875 0.000 0.750
Ni4 0.375 0.000 0.750
Ni5 0.041 0.333 0.083
Ni6 0.959 0.667 0.917
Rh4 0.792 0.334 0.584

## Properties
energy of formation from the pure elements = 49 meV/atom
crystal system = orthorhombic
total DFT energy (no corrections) = -5.97 eV/atom
magnetization = 5.904 μB per cell
symmetry = Fddd, No. 70


Entry from Alexandria via LeMat-Bulk: a geometry-optimized Ba2TiTlO5 structure (GGA-PBE).

Cell lengths 3.633, 8.476, 11.019 Å; angles 90.00, 90.00, 102.38 degrees
Fractional positions:
Ti1 0.462 0.924 0.435
Ba1 0.134 0.268 0.321
O1 0.641 0.281 0.884
O2 0.358 0.716 0.006
O3 0.019 0.037 0.996
Tl1 0.781 0.562 0.535
O4 0.510 0.020 0.289
O5 0.717 0.434 0.179
Ti2 0.538 0.076 0.935
Ba2 0.866 0.732 0.821
O6 0.359 0.719 0.384
O7 0.642 0.284 0.506
O8 0.981 0.963 0.496
O9 0.283 0.566 0.679
O10 0.490 0.980 0.789
Ba3 0.112 0.223 0.680
Tl2 0.219 0.438 0.035
Ba4 0.888 0.777 0.180

## Properties
crystal system = orthorhombic
total DFT energy (no corrections) = -6.60 eV/atom
magnetization = 1.638 μB per cell
symmetry = Cmc2_1, No. 36
ΔE_f (raw) = -2.2814 eV/atom


Entry from Alexandria via LeMat-Bulk: a geometry-optimized MoP2 structure (GGA-PBE).

Cell lengths 4.433, 4.433, 5.101 Å; angles 90.00, 90.00, 120.00 degrees
Fractional positions:
P1 0.000 0.000 0.000
P2 0.000 0.000 0.500
Mo1 0.333 0.667 0.250
P3 0.333 0.667 0.750
Mo2 0.667 0.333 0.750
P4 0.667 0.333 0.250

## Properties
energy of formation from the pure elements = 328 meV/atom
crystal system = hexagonal
total DFT energy (no corrections) = -6.89 eV/atom
magnetization = 0.001 μB per cell
symmetry = P6_3/mmc, No. 194


Q: Which of these has the lowest total DFT energy (no corrections)?
A: MoP2